The following is a DFT calculation (GGA-PBE) of a relaxed Ce4PCBr2 crystal.

Cell: 3.898 6.886 7.645 Å, 106.90 90.00 90.00°
Last column: magnetic moment on the atom in μB.
Fractional coordinates of all 8 atoms:
Ce1 0.500 0.259 0.201  0.72
Ce2 0.500 0.741 0.799  0.72
Ce3 0.000 0.292 0.809  0.75
Ce4 0.000 0.708 0.191  0.75
P1 0.000 0.000 0.000  -0.03
C1 0.500 0.500 0.000  -0.05
Br1 0.500 0.000 0.500  -0.01
Br2 0.000 0.500 0.500  -0.01

Computed properties:
* formation energy (no corrections): -8.76 eV/f.u.
* crystal system: monoclinic
* theoretical density: 6.456 g cm⁻³
* magnetic moment: 3.48 μB per formula unit
* symmetry: P2/m (10)

The following is a DFT calculation (GGA-PBE) of a relaxed Ce8P3CBr4 crystal.

Cell: 8.077 8.575 8.077 Å, 118.10 120.00 90.00°
Last column: magnetic moment on the atom in μB.
Fractional coordinates of all 16 atoms:
Ce1 0.221 0.701 0.981  0.77
Ce2 0.221 0.701 0.442  0.77
Ce3 0.262 0.285 0.523  0.70
Ce4 0.760 0.701 0.981  0.77
Ce5 0.240 0.299 0.019  0.77
Ce6 0.738 0.715 0.477  0.70
Ce7 0.779 0.299 0.558  0.77
Ce8 0.779 0.299 0.019  0.77
P1 0.500 0.500 0.000  -0.03
P2 0.500 0.500 0.500  -0.03
P3 0.000 0.500 0.500  -0.03
C1 0.000 0.500 0.000  -0.04
Br1 0.500 0.000 0.000  -0.01
Br2 0.500 0.000 0.500  -0.01
Br3 0.000 0.000 0.000  -0.01
Br4 0.000 0.000 0.500  -0.01

Computed properties:
* formation energy (no corrections): -20.00 eV/f.u.
* crystal system: trigonal
* theoretical density: 6.313 g cm⁻³
* magnetic moment: 7.10 μB per formula unit
* symmetry: R-3m (166)